(1)
Here is a PBEsol-optimized structure of ZnRh2N from Alexandria via LeMat-Bulk. Energies are from meta-GGA SCAN.

Cell and atoms, written as POSCAR:
```
ZnRh2N
1.0
4.0533 0.0000 0.0000
2.0266 3.5102 0.0000
2.0266 1.1701 3.3095
Rh Zn N
2 1 1
Direct
0.2500 0.2500 0.2500
0.7500 0.7500 0.7500
0.5000 0.5000 0.5000
0.0000 0.0000 0.0000
```

Results
- formation energy (no corrections) (meV per atom) = 899


(2)
Here is a PBEsol-optimized structure of Ca2IrOs from Alexandria via LeMat-Bulk. Energies are from meta-GGA SCAN.

Cell and atoms, written as POSCAR:
```
Ca2IrOs
1.0
4.1334 0.0000 0.0000
0.0000 4.1334 0.0000
-2.0667 -2.0667 4.3133
Os Ca Ir
1 2 1
Direct
0.0000 0.0000 0.0000
0.7500 0.2500 0.5000
0.2500 0.7500 0.5000
0.5000 0.5000 0.0000
```

Results
- offset from the most stable computed form (meV per atom) = 497.2


(3)
Here is a PBEsol-optimized structure of ScMnTeN2 from Alexandria via LeMat-Bulk. Energies are from meta-GGA SCAN.

Cell and atoms, written as POSCAR:
```
ScMnTeN2
1.0
-3.6967 1.5715 0.1939
-1.4742 -3.5956 1.0347
0.8439 1.2856 5.6698
Mn Te N Sc
1 1 2 1
Direct
0.5000 0.5000 0.5000
0.0000 0.0000 0.5000
0.0000 0.5000 0.0000
0.5000 0.0000 0.0000
0.0000 0.0000 0.0000
```

Results
- formation energy (no corrections) (meV per atom) = 408


Table of final energy (eV per cell), in record order: -86.75; -160.84; -86.29